1.
A geometry-optimized Pr2HoP2N6 structure, computed with GGA-PBE.

Properties
Energy relative to the elements, uncorrected = -878 meV per atom
M_tot = 0.7 μB per cell
Theoretical density = 5.67 Mg/m³
Symmetry = P-3 (147)
D(E_F) = 0.29 states/eV/atom

abc: 5.7472 5.7472 6.0653
angles: 90.00 90.00 120.00
Closest atoms and distances in Å follow each position.
Fractional positions:
Pr (0.3333, 0.6667, 0.3413)  3 N 2.43
Pr (0.6667, 0.3333, 0.6587)  3 N 2.43
Ho (0.0000, 0.0000, 0.0000)  6 N 2.39
P (0.3333, 0.6667, 0.8199)  3 N 1.61
P (0.6667, 0.3333, 0.1801)  3 N 1.61
N (0.0909, 0.3684, 0.7638)  1 P 1.61
N (0.2775, 0.9091, 0.7638)  1 P 1.61
N (0.3684, 0.2775, 0.2362)  1 P 1.61
N (0.6316, 0.7225, 0.7638)  1 P 1.61
N (0.7225, 0.0909, 0.2362)  1 P 1.61
N (0.9091, 0.6316, 0.2362)  1 P 1.61

2.
A geometry-optimized LiZrCuIr structure, computed with GGA-PBE.

Properties
M_tot = 0.0 μB per cell
Theoretical density = 9.35 Mg/m³
Symmetry = F-43m (216)
Formation enthalpy at 0 K = -0.336 eV/atom
D(E_F) = 0.57 states/eV/atom

abc: 4.4632 4.4632 4.4632
angles: 60.00 60.00 60.00
Closest atoms and distances in Å follow each position.
Fractional positions:
Li (0.0000, 0.0000, 0.0000)  4 Cu 2.73, 4 Ir 2.73
Zr (0.5000, 0.5000, 0.5000)  4 Cu 2.73, 4 Ir 2.73
Cu (0.7500, 0.7500, 0.7500)  4 Zr 2.73, 4 Li 2.73
Ir (0.2500, 0.2500, 0.2500)  4 Zr 2.73, 4 Li 2.73

3.
A geometry-optimized CaSc2Br structure, computed with GGA-PBE.

Properties
Energy relative to the elements, uncorrected = -161 meV per atom
M_tot = 1.8 μB per cell
Polymorph energy (0 for the lowest one) = 0.295 eV per atom
Theoretical density = 3.24 Mg/m³
Symmetry = P4/mmm (123)
D(E_F) = 1.41 states/eV/atom

abc: 3.3922 3.3922 9.3503
angles: 90.00 90.00 90.00
Closest atoms and distances in Å follow each position.
Fractional positions:
Ca (0.0000, 0.0000, 0.0000)  4 Ca 3.39, 8 Sc 3.61
Sc (0.5000, 0.5000, 0.2884)  4 Br 3.11, 4 Sc 3.39
Sc (0.5000, 0.5000, 0.7116)  4 Br 3.11, 4 Sc 3.39
Br (0.0000, 0.0000, 0.5000)  8 Sc 3.11, 4 Br 3.39

4.
A geometry-optimized Sm2Mg3Ag2 structure, computed with GGA-PBE.

Properties
M_tot = 0.0 μB per cell
Polymorph energy (0 for the lowest one) = 0.000 eV per atom
Theoretical density = 5.75 Mg/m³
Symmetry = C2/m (12)
Formation enthalpy at 0 K = -0.233 eV/atom
D(E_F) = 0.69 states/eV/atom

abc: 5.6847 5.6847 7.6148
angles: 110.68 110.68 48.64
Closest atoms and distances in Å follow each position.
Fractional positions:
Sm (0.1385, 0.1385, 0.2801)  4 Ag 3.05-3.17, 1 Mg 3.42
Sm (0.8615, 0.8615, 0.7199)  4 Ag 3.05-3.17, 1 Mg 3.42
Mg (0.3720, 0.3720, 0.0629)  3 Ag 2.80-3.01, 1 Mg 3.07
Mg (0.5000, 0.5000, 0.5000)  4 Ag 2.91, 2 Mg 3.07
Mg (0.6280, 0.6280, 0.9371)  3 Ag 2.80-3.01, 1 Mg 3.07
Ag (0.1515, 0.1515, 0.7035)  5 Mg 2.80-3.01, 1 Sm 3.05
Ag (0.8485, 0.8485, 0.2965)  5 Mg 2.80-3.01, 1 Sm 3.05